DFT (PBE-GGA) results for a relaxed Ca2SbSe crystal.

## Properties
* VASP energy: -4.1882 eV/atom
* energy relative to the lowest polymorph listed for this composition: 8.9 kJ/mol of atoms
* DOS at the Fermi energy: 0.84 states/eV/f.u.
* energy relative to the elements, uncorrected: -1.286 eV/atom
* space group: No. 44

a = 3.7762 Å, b = 3.9524 Å, c = 15.8304 Å
α = 90.00°, β = 90.00°, γ = 90.00°
Last column: nearest neighbours and their distance in Å.
Element x y z (fractional)
Ca1 0.0000 0.0000 0.0000  4 Se 3.01, 2 Sb 3.26
Ca2 0.0000 0.5000 0.2243  2 Se 2.97, 4 Sb 3.26
Ca3 0.5000 0.0000 0.7243  2 Se 2.97, 4 Sb 3.26
Ca4 0.5000 0.5000 0.5000  4 Se 3.01, 2 Sb 3.26
Sb1 0.0000 0.5000 0.8364  6 Ca 3.26
Sb2 0.5000 0.0000 0.3364  6 Ca 3.26
Se1 0.0000 0.0000 0.5793  6 Ca 2.97-3.01
Se2 0.5000 0.5000 0.0793  6 Ca 2.97-3.01

=====

DFT (PBE-GGA) results for a relaxed CaSbSe2 crystal.

## Properties
* VASP energy: -4.1103 eV/atom
* DOS at the Fermi energy: 1.88 states/eV/f.u.
* energy relative to the elements, uncorrected: -0.837 eV/atom
* space group: No. 44

a = 3.9368 Å, b = 3.9478 Å, c = 13.8036 Å
α = 90.00°, β = 90.00°, γ = 90.00°
Last column: nearest neighbours and their distance in Å.
Element x y z (fractional)
Ca1 0.0000 0.0000 0.0000  6 Se 2.94-3.14
Ca2 0.5000 0.5000 0.5000  6 Se 2.94-3.14
Sb1 0.0000 0.5000 0.7442  6 Se 2.94-3.26
Sb2 0.5000 0.0000 0.2442  6 Se 2.94-3.26
Se1 0.0000 0.0000 0.4321  4 Ca 2.94, 2 Sb 3.26
Se2 0.0000 0.5000 0.1769  4 Sb 2.94, 2 Ca 3.14
Se3 0.5000 0.0000 0.6769  4 Sb 2.94, 2 Ca 3.14
Se4 0.5000 0.5000 0.9321  4 Ca 2.94, 2 Sb 3.26

=====

DFT (PBE-GGA) results for a relaxed CaSbSe2 crystal.

## Properties
* VASP energy: -4.1245 eV/atom
* DOS at the Fermi energy: 1.49 states/eV/f.u.
* energy relative to the elements, uncorrected: -0.851 eV/atom
* space group: No. 12

a = 7.6348 Å, b = 4.5117 Å, c = 6.7606 Å
α = 90.00°, β = 108.64°, γ = 90.00°
Last column: nearest neighbours and their distance in Å.
Element x y z (fractional)
Ca1 0.0000 0.0000 0.0000  6 Se 3.02-3.05
Ca2 0.5000 0.5000 0.0000  6 Se 3.02-3.05
Sb1 0.0000 0.5000 0.5000  6 Se 2.83-3.12
Sb2 0.5000 0.0000 0.5000  6 Se 2.83-3.12
Se1 0.2376 0.5000 0.2536  3 Sb 2.83-3.12, 3 Ca 3.02-3.05
Se2 0.2624 0.0000 0.7464  3 Sb 2.83-3.12, 3 Ca 3.02-3.05
Se3 0.7376 0.0000 0.2536  3 Sb 2.83-3.12, 3 Ca 3.02-3.05
Se4 0.7624 0.5000 0.7464  3 Sb 2.83-3.12, 3 Ca 3.02-3.05

=====

DFT (PBE-GGA) results for a relaxed Ca2SbSe3 crystal.

## Properties
* VASP energy: -4.2532 eV/atom
* DOS at the Fermi energy: 2.48 states/eV/f.u.
* energy relative to the elements, uncorrected: -1.157 eV/atom
* space group: No. 65

a = 5.9260 Å, b = 13.4289 Å, c = 4.6062 Å
α = 90.00°, β = 90.00°, γ = 90.00°
Last column: nearest neighbours and their distance in Å.
Element x y z (fractional)
Ca1 0.0000 0.1446 0.0000  5 Se 2.88-3.01
Ca2 0.0000 0.8554 0.0000  5 Se 2.88-3.01
Ca3 0.5000 0.3554 0.0000  5 Se 2.88-3.01
Ca4 0.5000 0.6446 0.0000  5 Se 2.88-3.01
Sb1 0.0000 0.5000 0.5000  6 Se 2.96-2.98
Sb2 0.5000 0.0000 0.5000  6 Se 2.96-2.98
Se1 0.0000 0.0000 0.5000  2 Sb 2.96, 4 Ca 3.01
Se2 0.0000 0.3591 0.0000  3 Ca 2.88-2.96, 2 Sb 2.98
Se3 0.0000 0.6409 0.0000  3 Ca 2.88-2.96, 2 Sb 2.98
Se4 0.5000 0.1409 0.0000  3 Ca 2.88-2.96, 2 Sb 2.98
Se5 0.5000 0.5000 0.5000  2 Sb 2.96, 4 Ca 3.01
Se6 0.5000 0.8591 0.0000  3 Ca 2.88-2.96, 2 Sb 2.98